*w*
A plane-wave DFT calculation with PBE was carried out for a relaxed MgZn2H2 crystal.

a = 3.814 Å, b = 3.814 Å, c = 8.224 Å
α = 90.00°, β = 90.00°, γ = 90.00°
Space group I4/mmm (No. 139)
One atom of each set of equivalent atoms:
Mg 0.000 0.000 0.000 x2
Zn 0.000 0.000 0.344 x4
H 0.000 0.500 0.250 x4

Summary:
For the density of states at the Fermi level, the calculation gives 2.7 states/eV/cell.

*x*
A plane-wave DFT calculation with PBE was carried out for a relaxed MgZn2H2 crystal.

a = 7.124 Å, b = 7.124 Å, c = 2.707 Å
α = 90.00°, β = 90.00°, γ = 90.00°
Space group P4/mbm (No. 127)
One atom of each set of equivalent atoms:
Mg 0.000 0.000 0.000 x2
Zn 0.124 0.376 0.000 x4
H 0.109 0.609 0.500 x4

Summary:
For the density of states at the Fermi level, the calculation gives 3.5 states/eV/cell.

Pick the most stable structure from those above. Pick: *w*